An optimized crystal structure of SnBPt2, computed with PBE.

POSCAR file:
```
SnBPt2
1.0
-0.106 -1.709 2.702
0.229 -3.188 -0.114
7.850 -1.094 1.510
B Sn Pt
1 1 2
Direct
0.500 0.500 0.500
0.000 0.000 0.000
0.118 0.118 0.646
0.882 0.882 0.354
```

Properties
E (Ry/atom): -0.4231
Symmetry: No. 166
E_form (eV/f.u.): -0.3